Entry A
This record from Alexandria describes BeCl after structural relaxation. The functional is PBE-GGA.

The structure belongs to space group I4_1/amd (No. 141, origin choice 2); the cell edges are 3.189, 3.189 and 12.729 Å and the angles 90.00°, 90.00° and 90.00°. The distinct sites, in fractional coordinates, are Be at (0.000, 0.250, 0.375) and Cl at (0.000, 0.250, 0.875).

The total moment is 0.00 μB per atom.

=====

Entry B
This record from Alexandria describes BeCl after structural relaxation. The functional is PBE-GGA.

The structure belongs to space group Pmmn (No. 59, origin choice 2); the cell edges are 3.191, 15.683 and 5.030 Å and the angles 90.00°, 90.00° and 90.00°. The distinct sites, in fractional coordinates, are Be at (0.250, 0.183, 0.209), Be at (0.250, 0.750, 0.552), Cl at (0.250, 0.250, 0.839) and Cl at (0.250, 0.594, 0.752).

The total moment is 0.00 μB per atom.

=====

Entry C
This record from Alexandria describes BeCl after structural relaxation. The functional is PBE-GGA.

The structure belongs to space group R-3m (No. 166, hexagonal axes); the cell edges are 3.2767, 3.2767 and 9.8405 Å and the angles 90.00°, 90.00° and 120.00°. The distinct sites, in fractional coordinates, are Be at (0.0000, 0.0000, 0.0000) and Cl at (0.0000, 0.0000, 0.5000).

The total moment is 0.00 μB per atom.

=====

Entry D
This record from Alexandria describes BeCl after structural relaxation. The functional is PBE-GGA.

The structure belongs to space group Cm (No. 8); the cell edges are 5.393, 3.103 and 5.603 Å and the angles 90.00°, 102.43° and 90.00°. The distinct sites, in fractional coordinates, are Be at (0.000, 0.000, 0.000) and Cl at (0.215, 0.500, 0.220).

The total moment is 0.00 μB per atom.

=====

Which of the structures shown above is the most stable? The most stable is entry B.